[1]
TbCoSn: optimized geometry, PBEsol.

a b c (Å): 7.3222 4.5311 7.0287
angles (deg): 90.00 90.00 90.00
Last column: nearest neighbours and their distance in Å.
Fractional positions:
Tb 0.0283 0.2500 0.1929  4 Co 2.86-2.99, 4 Sn 3.07-3.12
Tb 0.4717 0.7500 0.6929  4 Co 2.86-2.99, 4 Sn 3.07-3.12
Tb 0.5283 0.2500 0.3071  4 Co 2.86-2.99, 4 Sn 3.07-3.12
Tb 0.9717 0.7500 0.8071  4 Co 2.86-2.99, 4 Sn 3.07-3.12
Co 0.1460 0.7500 0.4429  4 Sn 2.56-2.59, 1 Tb 2.86
Co 0.3540 0.2500 0.9429  4 Sn 2.56-2.59, 1 Tb 2.86
Co 0.6460 0.7500 0.0571  4 Sn 2.56-2.59, 1 Tb 2.86
Co 0.8540 0.2500 0.5571  4 Sn 2.56-2.59, 1 Tb 2.86
Sn 0.1992 0.2500 0.6135  4 Co 2.56-2.59
Sn 0.3008 0.7500 0.1135  4 Co 2.56-2.59
Sn 0.6992 0.2500 0.8865  4 Co 2.56-2.59
Sn 0.8008 0.7500 0.3865  4 Co 2.56-2.59

- Raw total energy: -74.43 eV per cell
- Space-group type: Pnma
- ΔE_f: -1.60 eV/f.u.

[2]
CuAs2W: optimized geometry, PBEsol.

a b c (Å): 3.3120 3.3120 5.9317
angles (deg): 90.00 90.00 90.00
Last column: nearest neighbours and their distance in Å.
Fractional positions:
Cu 0.0000 0.0000 0.0000  5 As 2.51-2.63, 4 W 2.80
As 0.0000 0.0000 0.4426  4 W 2.58, 1 Cu 2.63
As 0.5000 0.5000 0.8464  1 W 2.45, 4 Cu 2.51
W 0.5000 0.5000 0.2596  5 As 2.45-2.58

- Offset from the most stable computed form: 0.00 eV per formula unit
- Raw total energy: -27.49 eV per cell
- Space-group type: P4mm
- ΔE_f: 0.87 eV/f.u.

[3]
MnCd2Se: optimized geometry, PBEsol.

a b c (Å): 4.1588 4.1662 8.7599
angles (deg): 90.00 90.00 90.00
Last column: nearest neighbours and their distance in Å.
Fractional positions:
Mn 0.0000 0.0000 0.0000  8 Cd 2.82, 4 Mn 2.94
Mn 0.5000 0.5000 0.0000  8 Cd 2.82, 4 Mn 2.94
Cd 0.0000 0.5000 0.2170  4 Mn 2.82, 4 Cd 2.94
Cd 0.0000 0.5000 0.7830  4 Mn 2.82, 4 Cd 2.94
Cd 0.5000 0.0000 0.2170  4 Mn 2.82, 4 Cd 2.94
Cd 0.5000 0.0000 0.7830  4 Mn 2.82, 4 Cd 2.94
Se 0.0000 0.0000 0.5000  4 Se 2.94, 8 Cd 3.24
Se 0.5000 0.5000 0.5000  4 Se 2.94, 8 Cd 3.24

- Raw total energy: -29.80 eV per cell
- Space-group type: Cmmm
- Formation energy without anion corrections: 0.28 eV per atom